Tl2MoPbO6 | GGA+U | relaxed

abc: 7.898 8.297 8.297
angles: 86.49 61.64 61.64
Sites, in units of the cell vectors:
1 Mo 0.750 0.770 0.230
2 Mo 0.250 0.230 0.770
3 O 0.940 0.678 0.321
4 O 0.095 0.292 0.021
5 O 0.905 0.708 0.979
6 O 0.440 0.321 0.678
7 O 0.934 0.222 0.408
8 O 0.066 0.778 0.592
9 O 0.595 0.021 0.292
10 O 0.060 0.322 0.679
11 O 0.405 0.979 0.708
12 O 0.560 0.679 0.322
13 O 0.434 0.408 0.222
14 O 0.566 0.592 0.778
15 Pb 0.250 0.731 0.269
16 Pb 0.750 0.269 0.731
17 Tl 0.289 0.712 0.712
18 Tl 0.711 0.288 0.288
19 Tl 0.789 0.712 0.712
20 Tl 0.211 0.288 0.288

Calculated values
The calculation puts the calculated total energy at -5.608 eV per atom. The space-group type is C2/c, No. 15.